# KRePb2 SCAN single point on PBEsol structure
# - Energy of formation: 1.26 eV per atom
data_KRePb2
_cell_length_a 7.360
_cell_length_b 7.360
_cell_length_c 7.360
_cell_angle_alpha 90.00
_cell_angle_beta 90.00
_cell_angle_gamma 90.00
_space_group_name_H-M_alt 'F -4 3 m'
_space_group_IT_number 216
_space_group_name_Hall 'F -4 2 3'
loop_
_atom_site_label
_atom_site_fract_x
_atom_site_fract_y
_atom_site_fract_z
K1 0.000 0.000 0.000
Re1 0.250 0.250 0.750
Pb1 0.000 0.000 0.500
Pb2 0.250 0.250 0.250